# 1
Here is a relaxed SrTcOs crystal from the Alexandria database. Energies are from GGA-PBEsol.

Output
DOS at the Fermi energy   1.70 states/eV per atom
DFT formation energy   2.656 eV/atom
Size of the total moment   2.5 μB per cell
Mass density   9.71 g cm⁻³

```
SrTcOs
1.0
4.496 0.000 0.000
2.248 3.894 0.000
2.248 1.298 3.671
Os Tc Sr
1 1 1
direct
0.500 0.500 0.500
0.000 0.000 0.000
0.250 0.250 0.250
```


# 2
Here is a relaxed NaCdPt3 crystal from the Alexandria database. Energies are from GGA-PBEsol.

Output
DOS at the Fermi energy   1.17 states/eV per atom
DFT formation energy   1.311 eV/atom
Size of the total moment   0.0 μB per cell
Mass density   12.71 g cm⁻³

```
NaCdPt3
1.0
4.550 0.000 0.000
0.000 4.550 0.000
0.000 0.000 4.550
Na Cd Pt
1 1 3
direct
0.000 0.000 0.000
0.500 0.500 0.500
0.500 0.000 0.000
0.000 0.500 0.000
0.000 0.000 0.500
```


# 3
Here is a relaxed MnIrN2F crystal from the Alexandria database. Energies are from GGA-PBEsol.

Output
ΔE_f (raw)   0.534 eV/atom
DOS at the Fermi energy   0.50 states/eV per atom
Size of the total moment   4.8 μB per cell
Mass density   6.61 g cm⁻³

```
MnIrN2F
1.0
3.672 0.000 0.000
0.000 3.672 0.000
0.000 0.000 5.483
F Ir N Mn
1 1 2 1
direct
0.000 0.000 0.500
0.000 0.000 0.000
0.000 0.500 0.000
0.500 0.000 0.000
0.500 0.500 0.500
```


# 4
Here is a relaxed AlZn2Re crystal from the Alexandria database. Energies are from GGA-PBEsol.

Output
DOS at the Fermi energy   0.17 states/eV per atom
DFT formation energy   -0.011 eV/atom
Size of the total moment   0.0 μB per cell
Mass density   10.42 g cm⁻³

```
AlZn2Re
1.0
-3.201 -0.499 1.558
0.989 -3.317 0.971
2.644 3.434 2.384
Zn Al Re
2 1 1
direct
0.750 0.250 0.500
0.250 0.750 0.500
0.500 0.500 0.000
0.000 0.000 0.000
```